ScGe2Au | PBE | optimized geometry

a b c (Å): 3.9390 4.3009 4.3009
angles (deg): 90.00 90.00 90.00
Element x y z (fractional)
Au (0.5000, 0.0000, 0.0000)
Ge (0.0000, 0.0000, 0.5000)
Ge (0.0000, 0.5000, 0.0000)
Sc (0.5000, 0.5000, 0.5000)

Values from the calculation:
Relative energy among the computed polymorphs   0 kJ/mol of formula units
Energy of formation   -439 meV per atom
SG   P4/mmm
Final energy   -20.601 eV per formula unit
DOS at the Fermi energy   2.1 states/eV/f.u.